1.
Density functional theory data (PBE) for a relaxed structure of YPu2RhN4.

Results
The total magnetic moment comes out at 14.2 μB/cell. Its symmetry is Cmcm. The calculated density is 10.85 g/cm³. The density of states at the Fermi level is 1.6514 states/eV/atom. As for the raw formation energy: -0.91 eV per atom.

Cell: 5.953 5.953 11.685 Å, 90.00 90.00 147.06°
Fractional positions:
Y 0.114 0.886 0.750
Y 0.886 0.114 0.250
Pu 0.371 0.629 0.555
Pu 0.371 0.629 0.945
Pu 0.629 0.371 0.055
Pu 0.629 0.371 0.445
Rh 0.148 0.852 0.250
Rh 0.852 0.148 0.750
N 0.000 0.000 0.000
N 0.000 0.000 0.500
N 0.271 0.729 0.111
N 0.271 0.729 0.389
N 0.463 0.537 0.750
N 0.537 0.463 0.250
N 0.729 0.271 0.611
N 0.729 0.271 0.889

2.
Density functional theory data (PBE) for a relaxed structure of Y2PuRhN4.

Results
The total magnetic moment comes out at 7.9 μB/cell. Its symmetry is Cmcm. The calculated density is 8.58 g/cm³. The density of states at the Fermi level is 0.7579 states/eV/atom. As for the raw formation energy: -0.93 eV per atom.

Cell: 6.009 6.009 11.652 Å, 90.00 90.00 147.70°
Fractional positions:
Y 0.129 0.871 0.548
Y 0.129 0.871 0.952
Y 0.871 0.129 0.048
Y 0.871 0.129 0.452
Pu 0.381 0.619 0.750
Pu 0.619 0.381 0.250
Rh 0.357 0.643 0.250
Rh 0.643 0.357 0.750
N 0.031 0.969 0.750
N 0.222 0.778 0.132
N 0.222 0.778 0.368
N 0.500 0.500 0.000
N 0.500 0.500 0.500
N 0.778 0.222 0.632
N 0.778 0.222 0.868
N 0.969 0.031 0.250